Entry 1:
A plane-wave DFT calculation with PBE-GGA was carried out for crystalline Pm2Al2InPd5 at its relaxed geometry.

Structure (POSCAR):
```
Pm2Al2InPd5
1.0
3.504 0.000 0.000
0.000 10.445 0.000
0.000 0.000 10.445
Pm Al In Pd
4 4 2 10
Direct
0.000 0.678 0.178
0.000 0.322 0.822
0.000 0.178 0.322
0.000 0.822 0.678
0.000 0.121 0.621
0.000 0.879 0.379
0.000 0.621 0.879
0.000 0.379 0.121
0.000 0.000 0.000
0.000 0.500 0.500
0.500 0.212 0.057
0.500 0.788 0.943
0.500 0.057 0.788
0.500 0.712 0.443
0.500 0.943 0.212
0.500 0.288 0.557
0.500 0.557 0.712
0.500 0.443 0.288
0.500 0.500 0.000
0.500 0.000 0.500
```

Summary:
DFT total energy (eV per atom): -5.304
Calculated volume (Å³ per atom): 19.1
Magnetic moment (Bohr magnetons per cell): 0.0



Entry 2:
A plane-wave DFT calculation with PBE-GGA was carried out for crystalline Er2Zn3Ru2 at its relaxed geometry.

Structure (POSCAR):
```
Er2Zn3Ru2
1.0
4.317 0.000 0.000
-2.159 4.895 -1.075
0.000 -0.352 6.317
Er Zn Ru
2 3 2
Direct
0.621 0.241 0.350
0.379 0.759 0.650
0.293 0.586 0.121
0.000 0.000 0.000
0.707 0.414 0.879
0.091 0.182 0.671
0.909 0.818 0.329
```

Summary:
DFT total energy (eV per atom): -4.810
Calculated volume (Å³ per atom): 18.8
Magnetic moment (Bohr magnetons per cell): 0.0



So what do the calculations give for E_form? Going down the list: -70.9 -29.9 kJ/mol of atoms.